No. 1
Entry from the Alexandria database: an optimized crystal structure of LuMgTlCd (PBE-GGA).

a b c (Å): 5.1354 5.1354 5.1354
angles (deg): 60.00 60.00 60.00
Last column: nearest neighbours and their distance in Å.
Atoms (fractional coordinates):
Tl 0.2500 0.2500 0.2500  4 Mg 3.14, 4 Lu 3.14
Lu 0.5000 0.5000 0.5000  4 Cd 3.14, 4 Tl 3.14
Mg 0.0000 0.0000 0.0000  4 Cd 3.14, 4 Tl 3.14
Cd 0.7500 0.7500 0.7500  4 Mg 3.14, 4 Lu 3.14

space group = No. 216
ΔE_f = -0.22 eV per atom
E_tot = -2.57 eV/atom



No. 2
Entry from the Alexandria database: an optimized crystal structure of YZr2Pd8 (PBE-GGA).

a b c (Å): 4.1182 6.7113 7.5907
angles (deg): 107.31 105.74 90.00
Last column: nearest neighbours and their distance in Å.
Atoms (fractional coordinates):
Y 0.5000 0.0000 0.0000  12 Pd 2.90-2.99
Zr 0.7793 0.3338 0.5586  10 Pd 2.74-2.99
Zr 0.2207 0.6662 0.4414  10 Pd 2.74-2.99
Pd 0.4007 0.5421 0.8015  3 Zr 2.79-2.99, 8 Pd 2.89-3.12, 1 Y 2.96
Pd 0.6814 0.9097 0.3628  3 Zr 2.76-2.80, 8 Pd 2.85-2.99, 1 Y 2.90
Pd 0.8550 0.8014 0.7101  3 Zr 2.80-2.99, 7 Pd 2.85-3.12, 2 Y 2.96
Pd 0.9583 0.2832 0.9165  1 Zr 2.74, 8 Pd 2.79-2.98, 2 Y 2.99
Pd 0.1450 0.1986 0.2899  3 Zr 2.80-2.99, 7 Pd 2.85-3.12, 2 Y 2.96
Pd 0.3186 0.0903 0.6372  3 Zr 2.76-2.80, 8 Pd 2.85-2.99, 1 Y 2.90
Pd 0.5993 0.4579 0.1985  3 Zr 2.79-2.99, 8 Pd 2.89-3.12, 1 Y 2.96
Pd 0.0417 0.7168 0.0835  1 Zr 2.74, 8 Pd 2.79-2.98, 2 Y 2.99

space group = No. 12
ΔE_f = -0.71 eV per atom
E_tot = -6.63 eV/atom



No. 3
Entry from the Alexandria database: an optimized crystal structure of BeRhBr2 (PBE-GGA).

a b c (Å): 7.5229 7.5229 7.5229
angles (deg): 25.72 25.72 25.72
Last column: nearest neighbours and their distance in Å.
Atoms (fractional coordinates):
Be 0.7500 0.7500 0.7500  6 Br 2.41
Rh 0.2500 0.2500 0.2500  6 Br 2.92
Br 0.0172 0.0172 0.0172  3 Be 2.41
Br 0.4828 0.4828 0.4828  3 Be 2.41

space group = No. 166
E_tot = -3.30 eV/atom
E_form (uncorrected) = 0.31 eV/atom



No. 4
Entry from the Alexandria database: an optimized crystal structure of ErMn4Se8 (PBE-GGA).

a b c (Å): 7.4181 7.4181 7.8709
angles (deg): 61.89 61.89 60.00
Last column: nearest neighbours and their distance in Å.
Atoms (fractional coordinates):
Er 0.5000 0.5000 0.5000  6 Se 2.81
Mn 0.0000 0.5000 0.0000  6 Se 2.53-2.56
Mn 0.5000 0.5000 0.0000  6 Se 2.53-2.56
Mn 0.5000 0.0000 0.0000  6 Se 2.53-2.56
Mn 0.0000 0.0000 0.0000  6 Se 2.61
Se 0.7336 0.2420 0.7824  3 Mn 2.56-2.61, 1 Er 2.81
Se 0.7580 0.2664 0.2176  3 Mn 2.56-2.61, 1 Er 2.81
Se 0.2664 0.7580 0.2176  3 Mn 2.56-2.61, 1 Er 2.81
Se 0.7580 0.7580 0.2176  3 Mn 2.56-2.61, 1 Er 2.81
Se 0.7350 0.7350 0.7951  3 Mn 2.53
Se 0.2650 0.2650 0.2049  3 Mn 2.53
Se 0.2420 0.2420 0.7824  3 Mn 2.56-2.61, 1 Er 2.81
Se 0.2420 0.7336 0.7824  3 Mn 2.56-2.61, 1 Er 2.81

space group = No. 166
E_tot = -5.99 eV/atom
E_form (uncorrected) = -0.67 eV/atom



No. 5
Entry from the Alexandria database: an optimized crystal structure of OsCSe2N (PBE-GGA).

a b c (Å): 5.7240 5.7240 2.4699
angles (deg): 90.00 90.00 90.00
Last column: nearest neighbours and their distance in Å.
Atoms (fractional coordinates):
C 0.0000 0.0000 0.0000  2 N 1.23
Os 0.5000 0.5000 0.5000  2 Os 2.47
Se 0.0000 0.5000 0.0000  2 Se 2.47
Se 0.5000 0.0000 0.0000  2 Se 2.47
N 0.0000 0.0000 0.5000  2 C 1.23

space group = No. 123
E_tot = -5.86 eV/atom
E_form (uncorrected) = 1.29 eV/atom



No. 6
Entry from the Alexandria database: an optimized crystal structure of PrNdTe2I (PBE-GGA).

a b c (Å): 4.6758 4.6758 15.3369
angles (deg): 90.00 90.00 90.00
Last column: nearest neighbours and their distance in Å.
Atoms (fractional coordinates):
Pr 0.5000 0.0000 0.6527  4 I 3.31, 5 Te 3.40-3.47
Pr 0.0000 0.5000 0.3473  4 I 3.31, 5 Te 3.40-3.47
Nd 0.5000 0.0000 0.0879  6 Te 3.18-3.35
Nd 0.0000 0.5000 0.9121  6 Te 3.18-3.35
Te 0.0000 0.5000 0.7049  1 Nd 3.18, 4 Pr 3.40
Te 0.0000 0.5000 0.1211  5 Nd 3.21-3.35, 1 Pr 3.47
Te 0.5000 0.0000 0.8789  5 Nd 3.21-3.35, 1 Pr 3.47
Te 0.5000 0.0000 0.2951  1 Nd 3.18, 4 Pr 3.40
I 0.0000 0.0000 0.5000  4 I 3.31, 4 Pr 3.31
I 0.5000 0.5000 0.5000  4 I 3.31, 4 Pr 3.31

space group = No. 129
E_tot = -4.72 eV/atom
E_form (uncorrected) = -1.25 eV/atom



No. 7
Entry from the Alexandria database: an optimized crystal structure of InTeAu (PBE-GGA).

a b c (Å): 4.8961 4.8961 4.8961
angles (deg): 60.00 60.00 60.00
Last column: nearest neighbours and their distance in Å.
Atoms (fractional coordinates):
Au 0.7500 0.7500 0.7500  4 Te 3.00, 4 In 3.00
In 0.0000 0.0000 0.0000  4 Au 3.00
Te 0.5000 0.5000 0.5000  4 Au 3.00

space group = No. 216
E_tot = -3.14 eV/atom
E_form (uncorrected) = -0.09 eV/atom



No. 8
Entry from the Alexandria database: an optimized crystal structure of BeTeOs2 (PBE-GGA).

a b c (Å): 4.3337 4.3337 5.1147
angles (deg): 77.57 77.57 40.47
Last column: nearest neighbours and their distance in Å.
Atoms (fractional coordinates):
Be 0.2500 0.2500 0.2500  6 Os 2.47-2.60
Te 0.7500 0.7500 0.7500  6 Os 2.70-2.77, 4 Be 2.96, 2 Te 3.00
Os 0.9858 0.9858 0.0447  3 Be 2.47-2.60, 2 Os 2.63, 3 Te 2.70-2.77
Os 0.5142 0.5142 0.4553  3 Be 2.47-2.60, 2 Os 2.63, 3 Te 2.70-2.77

space group = No. 12
E_tot = -6.81 eV/atom
E_form (uncorrected) = 0.53 eV/atom



Results for calculated density: 8948 9708 6390 5375 7678 6609 8791 14149 (in kg/m3, following the order of the records).
Results for DOS(E_F): 1.03 6.05 3.39 6.17 5.12 1.90 0.60 2.38 (in states/eV/f.u., following the order of the records).